<w>
Below is an optimized crystal structure of Mg2HgSb, with properties calculated at the PBE level.

Structure (CIF):
```
data_Mg2HgSb
_cell_length_a 7.532
_cell_length_b 7.613
_cell_length_c 3.274
_cell_angle_alpha 90.00
_cell_angle_beta 90.00
_cell_angle_gamma 90.00
_space_group_name_H-M_alt 'C m m m'
_space_group_IT_number 65
_space_group_name_Hall '-C 2 2'
loop_
_atom_site_label
_atom_site_type_symbol
_atom_site_fract_x
_atom_site_fract_y
_atom_site_fract_z
_atom_site_occupancy
Mg1 Mg 0.250 0.250 0.000 1
Hg1 Hg 0.000 0.000 0.500 1
Sb1 Sb 0.000 0.500 0.500 1
```

Summary:
As for the volume: 188 Å³/cell.

<x>
Below is an optimized crystal structure of Mg2HgSb, with properties calculated at the PBE level.

Structure (CIF):
```
data_Mg2HgSb
_cell_length_a 3.780
_cell_length_b 4.334
_cell_length_c 5.958
_cell_angle_alpha 90.00
_cell_angle_beta 90.00
_cell_angle_gamma 90.00
_space_group_name_H-M_alt 'P m m 2'
_space_group_IT_number 25
_space_group_name_Hall 'P 2 -2'
loop_
_atom_site_label
_atom_site_type_symbol
_atom_site_fract_x
_atom_site_fract_y
_atom_site_fract_z
_atom_site_occupancy
Mg1 Mg 0.000 0.000 0.000 1
Mg2 Mg 0.500 0.500 0.344 1
Hg1 Hg 0.500 0.500 0.854 1
Sb1 Sb 0.000 0.000 0.495 1
```

Summary:
As for the volume: 98 Å³/cell.

Relative to the most stable one, in kJ/mol of atoms, the structures come out at <w> 0.0; <x> 3.2.

<w>
Below is an optimized crystal structure of MgHgSb, with properties calculated at the PBE level.

Structure (CIF):
```
data_MgHgSb
_cell_length_a 4.504
_cell_length_b 5.352
_cell_length_c 6.936
_cell_angle_alpha 89.80
_cell_angle_beta 89.53
_cell_angle_gamma 87.92
_space_group_name_H-M_alt 'P 1'
_space_group_IT_number 1
_space_group_name_Hall 'P 1'
loop_
_atom_site_label
_atom_site_type_symbol
_atom_site_fract_x
_atom_site_fract_y
_atom_site_fract_z
_atom_site_occupancy
Mg1 Mg 0.000 0.000 0.000 1
Mg2 Mg 0.489 0.499 0.490 1
Hg1 Hg 0.001 0.103 0.612 1
Hg2 Hg 0.512 0.605 0.877 1
Sb1 Sb 0.497 0.987 0.274 1
Sb2 Sb 0.995 0.487 0.216 1
```

Summary:
As for the volume: 167 Å³/cell.

<x>
Below is an optimized crystal structure of MgHgSb, with properties calculated at the PBE level.

Structure (CIF):
```
data_MgHgSb
_cell_length_a 8.529
_cell_length_b 4.933
_cell_length_c 8.448
_cell_angle_alpha 90.00
_cell_angle_beta 90.02
_cell_angle_gamma 90.00
_space_group_name_H-M_alt 'C 1 2/m 1'
_space_group_IT_number 12
_space_group_name_Hall '-C 2y'
loop_
_atom_site_label
_atom_site_type_symbol
_atom_site_fract_x
_atom_site_fract_y
_atom_site_fract_z
_atom_site_occupancy
Mg1 Mg 0.165 0.000 0.269 1
Hg1 Hg 0.167 0.000 0.915 1
Sb1 Sb 0.001 0.500 0.672 1
```

Summary:
As for the volume: 355 Å³/cell.

<y>
Below is an optimized crystal structure of MgHgSb, with properties calculated at the PBE level.

Structure (CIF):
```
data_MgHgSb
_cell_length_a 4.5610
_cell_length_b 4.5610
_cell_length_c 4.3043
_cell_angle_alpha 90.00
_cell_angle_beta 90.00
_cell_angle_gamma 120.00
_space_group_name_H-M_alt 'P 3 m 1'
_space_group_IT_number 156
_space_group_name_Hall 'P 3 -2"'
loop_
_atom_site_label
_atom_site_type_symbol
_atom_site_fract_x
_atom_site_fract_y
_atom_site_fract_z
_atom_site_occupancy
Mg1 Mg 0.0000 0.0000 0.0000 1
Hg1 Hg 0.3333 0.6667 0.6779 1
Sb1 Sb 0.6667 0.3333 0.3213 1
```

Summary:
As for the volume: 78 Å³/cell.

Relative to the most stable one, in kJ/mol of atoms, the structures come out at <w> 7.6; <x> 0.0; <y> 8.5.

<w>
Below is an optimized crystal structure of MgHgSb, with properties calculated at the PBE level.

Structure (CIF):
```
data_MgHgSb
_cell_length_a 3.391
_cell_length_b 4.306
_cell_length_c 10.081
_cell_angle_alpha 90.00
_cell_angle_beta 90.00
_cell_angle_gamma 90.00
_space_group_name_H-M_alt 'I m m 2'
_space_group_IT_number 44
_space_group_name_Hall 'I 2 -2'
loop_
_atom_site_label
_atom_site_type_symbol
_atom_site_fract_x
_atom_site_fract_y
_atom_site_fract_z
_atom_site_occupancy
Mg1 Mg 0.000 0.000 0.000 1
Hg1 Hg 0.000 0.000 0.656 1
Sb1 Sb 0.000 0.000 0.339 1
```

Summary:
As for the volume: 147 Å³/cell.

<x>
Below is an optimized crystal structure of MgHgSb, with properties calculated at the PBE level.

Structure (CIF):
```
data_MgHgSb
_cell_length_a 6.839
_cell_length_b 6.839
_cell_length_c 6.839
_cell_angle_alpha 90.00
_cell_angle_beta 90.00
_cell_angle_gamma 90.00
_space_group_name_H-M_alt 'F -4 3 m'
_space_group_IT_number 216
_space_group_name_Hall 'F -4 2 3'
loop_
_atom_site_label
_atom_site_type_symbol
_atom_site_fract_x
_atom_site_fract_y
_atom_site_fract_z
_atom_site_occupancy
Mg1 Mg 0.000 0.000 0.000 1
Hg1 Hg 0.250 0.250 0.250 1
Sb1 Sb 0.250 0.250 0.750 1
```

Summary:
As for the volume: 320 Å³/cell.

Relative to the most stable one, in kJ/mol of atoms, the structures come out at <w> 3.2; <x> 0.0.

<w>
Below is an optimized crystal structure of Mg2Hg2Sb, with properties calculated at the PBE level.

Structure (CIF):
```
data_Mg2Hg2Sb
_cell_length_a 4.341
_cell_length_b 4.341
_cell_length_c 12.902
_cell_angle_alpha 90.00
_cell_angle_beta 90.00
_cell_angle_gamma 90.00
_space_group_name_H-M_alt 'I 4/m m m'
_space_group_IT_number 139
_space_group_name_Hall '-I 4 2'
loop_
_atom_site_label
_atom_site_type_symbol
_atom_site_fract_x
_atom_site_fract_y
_atom_site_fract_z
_atom_site_occupancy
Mg1 Mg 0.000 0.500 0.250 1
Hg1 Hg 0.000 0.000 0.109 1
Sb1 Sb 0.000 0.000 0.500 1
```

Summary:
As for the volume: 243 Å³/cell.

<x>
Below is an optimized crystal structure of Mg2Hg2Sb, with properties calculated at the PBE level.

Structure (CIF):
```
data_Mg2Hg2Sb
_cell_length_a 8.347
_cell_length_b 8.347
_cell_length_c 3.313
_cell_angle_alpha 90.00
_cell_angle_beta 90.00
_cell_angle_gamma 90.00
_space_group_name_H-M_alt 'P 4/m b m'
_space_group_IT_number 127
_space_group_name_Hall '-P 4 2ab'
loop_
_atom_site_label
_atom_site_type_symbol
_atom_site_fract_x
_atom_site_fract_y
_atom_site_fract_z
_atom_site_occupancy
Mg1 Mg 0.165 0.335 0.000 1
Hg1 Hg 0.133 0.633 0.500 1
Sb1 Sb 0.000 0.000 0.500 1
```

Summary:
As for the volume: 231 Å³/cell.

Relative to the most stable one, in kJ/mol of atoms, the structures come out at <w> 11.0; <x> 0.0.

<w>
Below is an optimized crystal structure of MgHgSb2Te, with properties calculated at the PBE level.

Structure (CIF):
```
data_MgHgSb2Te
_cell_length_a 5.838
_cell_length_b 5.838
_cell_length_c 5.415
_cell_angle_alpha 90.00
_cell_angle_beta 90.00
_cell_angle_gamma 90.00
_space_group_name_H-M_alt 'P 4/m m m'
_space_group_IT_number 123
_space_group_name_Hall '-P 4 2'
loop_
_atom_site_label
_atom_site_type_symbol
_atom_site_fract_x
_atom_site_fract_y
_atom_site_fract_z
_atom_site_occupancy
Mg1 Mg 0.000 0.000 0.000 1
Hg1 Hg 0.500 0.500 0.000 1
Sb1 Sb 0.000 0.500 0.500 1
Te1 Te 0.000 0.000 0.500 1
```

Summary:
As for the volume: 185 Å³/cell.

<x>
Below is an optimized crystal structure of MgHgSb2Te, with properties calculated at the PBE level.

Structure (CIF):
```
data_MgHgSb2Te
_cell_length_a 5.479
_cell_length_b 5.479
_cell_length_c 5.447
_cell_angle_alpha 90.00
_cell_angle_beta 90.00
_cell_angle_gamma 90.00
_space_group_name_H-M_alt 'P 4/m m m'
_space_group_IT_number 123
_space_group_name_Hall '-P 4 2'
loop_
_atom_site_label
_atom_site_type_symbol
_atom_site_fract_x
_atom_site_fract_y
_atom_site_fract_z
_atom_site_occupancy
Mg1 Mg 0.000 0.000 0.000 1
Hg1 Hg 0.500 0.500 0.500 1
Sb1 Sb 0.000 0.500 0.000 1
Te1 Te 0.000 0.000 0.500 1
```

Summary:
As for the volume: 164 Å³/cell.

Relative to the most stable one, in kJ/mol of atoms, the structures come out at <w> 10.8; <x> 0.0.

<w>
Below is an optimized crystal structure of MgScHg3, with properties calculated at the PBE level.

Structure (CIF):
```
data_MgScHg3
_cell_length_a 16.052
_cell_length_b 5.963
_cell_length_c 5.209
_cell_angle_alpha 90.00
_cell_angle_beta 108.82
_cell_angle_gamma 90.00
_space_group_name_H-M_alt 'C 1 2/m 1'
_space_group_IT_number 12
_space_group_name_Hall '-C 2y'
loop_
_atom_site_label
_atom_site_type_symbol
_atom_site_fract_x
_atom_site_fract_y
_atom_site_fract_z
_atom_site_occupancy
Mg1 Mg 0.146 0.000 0.396 1
Sc1 Sc 0.062 0.500 0.812 1
Hg1 Hg 0.047 0.000 0.797 1
Hg2 Hg 0.146 0.500 0.395 1
Hg3 Hg 0.244 0.000 0.995 1
```

Summary:
As for the volume: 472 Å³/cell.

<x>
Below is an optimized crystal structure of MgScHg3, with properties calculated at the PBE level.

Structure (CIF):
```
data_MgScHg3
_cell_length_a 4.908
_cell_length_b 4.904
_cell_length_c 9.296
_cell_angle_alpha 90.00
_cell_angle_beta 104.97
_cell_angle_gamma 90.00
_space_group_name_H-M_alt 'P 1 21/m 1'
_space_group_IT_number 11
_space_group_name_Hall '-P 2yb'
loop_
_atom_site_label
_atom_site_type_symbol
_atom_site_fract_x
_atom_site_fract_y
_atom_site_fract_z
_atom_site_occupancy
Mg1 Mg 0.152 0.250 0.303 1
Sc1 Sc 0.346 0.250 0.692 1
Hg1 Hg 0.058 0.750 0.115 1
Hg2 Hg 0.252 0.750 0.501 1
Hg3 Hg 0.446 0.750 0.895 1
```

Summary:
As for the volume: 216 Å³/cell.

<y>
Below is an optimized crystal structure of MgScHg3, with properties calculated at the PBE level.

Structure (CIF):
```
data_MgScHg3
_cell_length_a 5.124
_cell_length_b 5.124
_cell_length_c 5.124
_cell_angle_alpha 90.00
_cell_angle_beta 90.00
_cell_angle_gamma 90.00
_space_group_name_H-M_alt 'P m -3 m'
_space_group_IT_number 221
_space_group_name_Hall '-P 4 2 3'
loop_
_atom_site_label
_atom_site_type_symbol
_atom_site_fract_x
_atom_site_fract_y
_atom_site_fract_z
_atom_site_occupancy
Mg1 Mg 0.000 0.000 0.000 1
Sc1 Sc 0.500 0.500 0.500 1
Hg1 Hg 0.000 0.000 0.500 1
```

Summary:
As for the volume: 135 Å³/cell.

Relative to the most stable one, in kJ/mol of atoms, the structures come out at <w> 18.7; <x> 0.0; <y> 55.7.